Entry from the Alexandria database: Sc3BiB after structural relaxation (PBE-GGA).

Structure (CIF):
```
data_Sc3BiB
_cell_length_a 12.8468
_cell_length_b 9.7634
_cell_length_c 6.8304
_cell_angle_alpha 90.00
_cell_angle_beta 90.00
_cell_angle_gamma 90.00
_space_group_name_H-M_alt 'C m c e'
_space_group_IT_number 64
_space_group_name_Hall '-C 2ac 2'
loop_
_atom_site_label
_atom_site_fract_x
_atom_site_fract_y
_atom_site_fract_z
Sc1 0.0000 0.0664 0.1985
Sc2 0.1210 0.1785 0.5936
Bi1 0.2500 0.0810 0.2500
B1 0.0000 0.1979 0.8726
```

Output
The relative energy among the computed polymorphs comes out at 3.84 kcal/mol of atoms. The value obtained for the formation enthalpy at 0 K is -0.40 eV per atom. Its spin magnetization is 0.0000 μB/atom. As for the total energy: -252.41 eV per cell.

***

Entry from the Alexandria database: PmMg9Au3 after structural relaxation (PBE-GGA).

Structure (CIF):
```
data_PmMg9Au3
_cell_length_a 5.6185
_cell_length_b 13.9999
_cell_length_c 7.5397
_cell_angle_alpha 90.00
_cell_angle_beta 111.63
_cell_angle_gamma 90.00
_space_group_name_H-M_alt 'C 1 2/m 1'
_space_group_IT_number 12
_space_group_name_Hall '-C 2y'
loop_
_atom_site_label
_atom_site_fract_x
_atom_site_fract_y
_atom_site_fract_z
Pm1 0.0000 0.0000 0.0000
Mg1 0.0000 0.0000 0.5000
Mg2 0.0971 0.3915 0.2093
Mg3 0.1739 0.1768 0.3369
Au1 0.0000 0.5000 0.5000
Au2 0.2500 0.2500 0.0000
```

Output
The value obtained for the formation enthalpy at 0 K is -0.36 eV per atom. Its spin magnetization is 0.0000 μB/atom. As for the total energy: -67.17 eV per cell.

***

Entry from the Alexandria database: La3PmSm4 after structural relaxation (PBE-GGA).

Structure (CIF):
```
data_La3PmSm4
_cell_length_a 10.4473
_cell_length_b 7.3243
_cell_length_c 7.3263
_cell_angle_alpha 90.00
_cell_angle_beta 90.00
_cell_angle_gamma 90.00
_space_group_name_H-M_alt 'P m n a'
_space_group_IT_number 53
_space_group_name_Hall '-P 2ac 2'
loop_
_atom_site_label
_atom_site_fract_x
_atom_site_fract_y
_atom_site_fract_z
La1 0.0000 0.0000 0.0000
La2 0.2500 0.2515 0.2500
Pm1 0.0000 0.5000 0.5000
Sm1 0.0000 0.0000 0.5000
Sm2 0.0000 0.5000 0.0000
Sm3 0.2500 0.2503 0.7500
```

Output
The value obtained for the formation enthalpy at 0 K is 0.02 eV per atom. Its spin magnetization is 0.0000 μB/atom. As for the total energy: -76.53 eV per cell.

***

What did the first record say?
Entry from the Alexandria database: Sc3BiB after structural relaxation (PBE-GGA).

Structure (CIF):
```
data_Sc3BiB
_cell_length_a 12.8468
_cell_length_b 9.7634
_cell_length_c 6.8304
_cell_angle_alpha 90.00
_cell_angle_beta 90.00
_cell_angle_gamma 90.00
_space_group_name_H-M_alt 'C m c e'
_space_group_IT_number 64
_space_group_name_Hall '-C 2ac 2'
loop_
_atom_site_label
_atom_site_fract_x
_atom_site_fract_y
_atom_site_fract_z
Sc1 0.0000 0.0664 0.1985
Sc2 0.1210 0.1785 0.5936
Bi1 0.2500 0.0810 0.2500
B1 0.0000 0.1979 0.8726
```

Output
The relative energy among the computed polymorphs comes out at 3.84 kcal/mol of atoms. The value obtained for the formation enthalpy at 0 K is -0.40 eV per atom. Its spin magnetization is 0.0000 μB/atom. As for the total energy: -252.41 eV per cell.

***

- Which value of total energy does entry 1 give?
  -252.41 eV per cell

***

- total energy of number 3 (La3PmSm4)?
  -76.53 eV per cell